1.
# PBE TlAsSe2S, relaxed
data_TlAsSe2S
_cell_length_a 5.329
_cell_length_b 5.329
_cell_length_c 5.546
_cell_angle_alpha 90.00
_cell_angle_beta 90.00
_cell_angle_gamma 90.00
_symmetry_space_group_name_H-M 'P 1'
_symmetry_Int_Tables_number 1
loop_
_symmetry_equiv_pos_as_xyz
'x,y,z'
loop_
_atom_site_label
_atom_site_type_symbol
_atom_site_fract_x
_atom_site_fract_y
_atom_site_fract_z
Tl1 Tl 0.000 0.000 0.000
As1 As 0.000 0.000 0.500
Se1 Se 0.000 0.500 0.000
Se2 Se 0.500 0.000 0.000
S1 S 0.500 0.500 0.500
# Total energy in eV per atom: -2.42
# DOS(E_F) in states/eV per atom: 1.139
# V in Å³ per cell: 157.5
# Formation energy without anion corrections in kJ/mol of formula units: 580
# Space group: P4/mmm, No. 123
# Energy above the lowest structure with this stoichiometry in eV/atom: 0.831
# M_tot in μB/f.u.: 1.0

***

2.
# PBE Tm6As2Se3S, relaxed
data_Tm6As2Se3S
_cell_length_a 8.996
_cell_length_b 8.996
_cell_length_c 8.036
_cell_angle_alpha 103.58
_cell_angle_beta 103.58
_cell_angle_gamma 25.68
_symmetry_space_group_name_H-M 'P 1'
_symmetry_Int_Tables_number 1
loop_
_symmetry_equiv_pos_as_xyz
'x,y,z'
loop_
_atom_site_label
_atom_site_type_symbol
_atom_site_fract_x
_atom_site_fract_y
_atom_site_fract_z
Tm1 Tm 0.002 0.002 0.232
Tm2 Tm 0.331 0.331 0.424
Tm3 Tm 0.341 0.341 0.914
Tm4 Tm 0.659 0.659 0.086
Tm5 Tm 0.669 0.669 0.576
Tm6 Tm 0.998 0.998 0.768
As1 As 0.166 0.166 0.332
As2 As 0.834 0.834 0.668
Se1 Se 0.168 0.168 0.834
Se2 Se 0.500 0.500 0.500
Se3 Se 0.832 0.832 0.166
S1 S 0.500 0.500 0.000
# Total energy in eV per atom: -5.93
# DOS(E_F) in states/eV per atom: 0.351
# V in Å³ per cell: 273.5
# Formation energy without anion corrections in kJ/mol of formula units: -1971
# Space group: C2/m, No. 12
# M_tot in μB/f.u.: 0.0

***

3.
# PBE Tm6As3Se2S, relaxed
data_Tm6As3Se2S
_cell_length_a 8.985
_cell_length_b 8.985
_cell_length_c 8.027
_cell_angle_alpha 102.84
_cell_angle_beta 102.84
_cell_angle_gamma 25.84
_symmetry_space_group_name_H-M 'P 1'
_symmetry_Int_Tables_number 1
loop_
_symmetry_equiv_pos_as_xyz
'x,y,z'
loop_
_atom_site_label
_atom_site_type_symbol
_atom_site_fract_x
_atom_site_fract_y
_atom_site_fract_z
Tm1 Tm 0.003 0.003 0.253
Tm2 Tm 0.335 0.335 0.425
Tm3 Tm 0.337 0.337 0.909
Tm4 Tm 0.663 0.663 0.091
Tm5 Tm 0.665 0.665 0.575
Tm6 Tm 0.997 0.997 0.747
As1 As 0.168 0.168 0.335
As2 As 0.500 0.500 0.000
As3 As 0.832 0.832 0.665
Se1 Se 0.166 0.166 0.834
Se2 Se 0.834 0.834 0.166
S1 S 0.500 0.500 0.500
# Total energy in eV per atom: -6.00
# DOS(E_F) in states/eV per atom: 0.347
# V in Å³ per cell: 275.0
# Formation energy without anion corrections in kJ/mol of formula units: -1943
# Space group: C2/m, No. 12
# M_tot in μB/f.u.: 0.0

***

4.
# PBE Tm8As3Se4S, relaxed
data_Tm8As3Se4S
_cell_length_a 8.054
_cell_length_b 8.054
_cell_length_c 8.054
_cell_angle_alpha 59.69
_cell_angle_beta 59.69
_cell_angle_gamma 59.69
_symmetry_space_group_name_H-M 'P 1'
_symmetry_Int_Tables_number 1
loop_
_symmetry_equiv_pos_as_xyz
'x,y,z'
loop_
_atom_site_label
_atom_site_type_symbol
_atom_site_fract_x
_atom_site_fract_y
_atom_site_fract_z
Tm1 Tm 0.246 0.246 0.246
Tm2 Tm 0.249 0.742 0.742
Tm3 Tm 0.258 0.258 0.751
Tm4 Tm 0.258 0.751 0.258
Tm5 Tm 0.742 0.249 0.742
Tm6 Tm 0.742 0.742 0.249
Tm7 Tm 0.751 0.258 0.258
Tm8 Tm 0.754 0.754 0.754
As1 As 0.000 0.000 0.500
As2 As 0.000 0.500 0.000
As3 As 0.500 0.000 0.000
Se1 Se 0.000 0.000 0.000
Se2 Se 0.000 0.500 0.500
Se3 Se 0.500 0.000 0.500
Se4 Se 0.500 0.500 0.000
S1 S 0.500 0.500 0.500
# Total energy in eV per atom: -5.93
# DOS(E_F) in states/eV per atom: 0.379
# V in Å³ per cell: 366.8
# Formation energy without anion corrections in kJ/mol of formula units: -2608
# Space group: R-3m, No. 166
# M_tot in μB/f.u.: 0.0

***

5.
# PBE Tm6As2SeS3, relaxed
data_Tm6As2SeS3
_cell_length_a 8.826
_cell_length_b 8.826
_cell_length_c 7.889
_cell_angle_alpha 102.72
_cell_angle_beta 102.72
_cell_angle_gamma 25.85
_symmetry_space_group_name_H-M 'P 1'
_symmetry_Int_Tables_number 1
loop_
_symmetry_equiv_pos_as_xyz
'x,y,z'
loop_
_atom_site_label
_atom_site_type_symbol
_atom_site_fract_x
_atom_site_fract_y
_atom_site_fract_z
Tm1 Tm 0.001 0.001 0.236
Tm2 Tm 0.328 0.328 0.416
Tm3 Tm 0.334 0.334 0.914
Tm4 Tm 0.666 0.666 0.086
Tm5 Tm 0.672 0.672 0.584
Tm6 Tm 0.999 0.999 0.764
As1 As 0.166 0.166 0.831
As2 As 0.834 0.834 0.169
Se1 Se 0.500 0.500 0.500
S1 S 0.165 0.165 0.334
S2 S 0.500 0.500 0.000
S3 S 0.835 0.835 0.666
# Total energy in eV per atom: -6.10
# DOS(E_F) in states/eV per atom: 0.336
# V in Å³ per cell: 261.0
# Formation energy without anion corrections in kJ/mol of formula units: -2051
# Space group: C2/m, No. 12
# M_tot in μB/f.u.: 0.0

***

6.
# PBE Tm6AsSe2S3, relaxed
data_Tm6AsSe2S3
_cell_length_a 6.806
_cell_length_b 6.806
_cell_length_c 6.854
_cell_angle_alpha 99.51
_cell_angle_beta 99.51
_cell_angle_gamma 120.03
_symmetry_space_group_name_H-M 'P 1'
_symmetry_Int_Tables_number 1
loop_
_symmetry_equiv_pos_as_xyz
'x,y,z'
loop_
_atom_site_label
_atom_site_type_symbol
_atom_site_fract_x
_atom_site_fract_y
_atom_site_fract_z
Tm1 Tm 0.090 0.415 0.770
Tm2 Tm 0.235 0.235 0.230
Tm3 Tm 0.415 0.090 0.770
Tm4 Tm 0.585 0.910 0.230
Tm5 Tm 0.765 0.765 0.770
Tm6 Tm 0.910 0.585 0.230
As1 As 0.000 0.000 0.500
Se1 Se 0.334 0.666 0.500
Se2 Se 0.666 0.334 0.500
S1 S 0.169 0.831 0.000
S2 S 0.500 0.500 0.000
S3 S 0.831 0.169 0.000
# Total energy in eV per atom: -6.03
# DOS(E_F) in states/eV per atom: 0.379
# V in Å³ per cell: 259.5
# Formation energy without anion corrections in kJ/mol of formula units: -2077
# Space group: C2/m, No. 12
# M_tot in μB/f.u.: 0.0

***

7.
# PBE Tm8As3SeS4, relaxed
data_Tm8As3SeS4
_cell_length_a 7.883
_cell_length_b 7.883
_cell_length_c 7.883
_cell_angle_alpha 60.28
_cell_angle_beta 60.28
_cell_angle_gamma 60.28
_symmetry_space_group_name_H-M 'P 1'
_symmetry_Int_Tables_number 1
loop_
_symmetry_equiv_pos_as_xyz
'x,y,z'
loop_
_atom_site_label
_atom_site_type_symbol
_atom_site_fract_x
_atom_site_fract_y
_atom_site_fract_z
Tm1 Tm 0.249 0.249 0.249
Tm2 Tm 0.254 0.743 0.743
Tm3 Tm 0.257 0.257 0.746
Tm4 Tm 0.257 0.746 0.257
Tm5 Tm 0.743 0.254 0.743
Tm6 Tm 0.743 0.743 0.254
Tm7 Tm 0.746 0.257 0.257
Tm8 Tm 0.751 0.751 0.751
As1 As 0.000 0.500 0.500
As2 As 0.500 0.000 0.500
As3 As 0.500 0.500 0.000
Se1 Se 0.000 0.000 0.000
S1 S 0.000 0.000 0.500
S2 S 0.000 0.500 0.000
S3 S 0.500 0.000 0.000
S4 S 0.500 0.500 0.500
# Total energy in eV per atom: -6.12
# DOS(E_F) in states/eV per atom: 0.367
# V in Å³ per cell: 348.5
# Formation energy without anion corrections in kJ/mol of formula units: -2725
# Space group: R-3m, No. 166
# M_tot in μB/f.u.: 0.0

***

8.
# PBE Tm4AsSe2S, relaxed
data_Tm4AsSe2S
_cell_length_a 6.866
_cell_length_b 3.976
_cell_length_c 6.975
_cell_angle_alpha 90.00
_cell_angle_beta 109.20
_cell_angle_gamma 90.00
_symmetry_space_group_name_H-M 'P 1'
_symmetry_Int_Tables_number 1
loop_
_symmetry_equiv_pos_as_xyz
'x,y,z'
loop_
_atom_site_label
_atom_site_type_symbol
_atom_site_fract_x
_atom_site_fract_y
_atom_site_fract_z
Tm1 Tm 0.236 0.000 0.228
Tm2 Tm 0.249 0.500 0.767
Tm3 Tm 0.751 0.500 0.233
Tm4 Tm 0.764 0.000 0.772
As1 As 0.500 0.000 0.000
Se1 Se 0.000 0.000 0.500
Se2 Se 0.500 0.500 0.500
S1 S 0.000 0.500 0.000
# Total energy in eV per atom: -5.93
# DOS(E_F) in states/eV per atom: 0.384
# V in Å³ per cell: 179.8
# Formation energy without anion corrections in kJ/mol of formula units: -1334
# Space group: P2/m, No. 10
# M_tot in μB/f.u.: 0.0

***

9.
# PBE Tm3AsSeS, relaxed
data_Tm3AsSeS
_cell_length_a 7.751
_cell_length_b 7.751
_cell_length_c 6.622
_cell_angle_alpha 98.28
_cell_angle_beta 98.28
_cell_angle_gamma 128.76
_symmetry_space_group_name_H-M 'P 1'
_symmetry_Int_Tables_number 1
loop_
_symmetry_equiv_pos_as_xyz
'x,y,z'
loop_
_atom_site_label
_atom_site_type_symbol
_atom_site_fract_x
_atom_site_fract_y
_atom_site_fract_z
Tm1 Tm 0.170 0.325 0.001
Tm2 Tm 0.245 0.755 0.750
Tm3 Tm 0.325 0.170 0.501
Tm4 Tm 0.675 0.830 0.499
Tm5 Tm 0.755 0.245 0.250
Tm6 Tm 0.830 0.675 0.999
As1 As 0.436 0.564 0.750
As2 As 0.564 0.436 0.250
Se1 Se 0.249 0.751 0.250
Se2 Se 0.751 0.249 0.750
S1 S 0.056 0.944 0.750
S2 S 0.944 0.056 0.250
# Total energy in eV per atom: -5.65
# DOS(E_F) in states/eV per atom: 0.676
# V in Å³ per cell: 292.5
# Formation energy without anion corrections in kJ/mol of formula units: -792
# Space group: C2/c, No. 15
# M_tot in μB/f.u.: 0.0

***

10.
# PBE Tm8AsSe3S4, relaxed
data_Tm8AsSe3S4
_cell_length_a 7.902
_cell_length_b 7.902
_cell_length_c 7.902
_cell_angle_alpha 59.60
_cell_angle_beta 59.60
_cell_angle_gamma 59.60
_symmetry_space_group_name_H-M 'P 1'
_symmetry_Int_Tables_number 1
loop_
_symmetry_equiv_pos_as_xyz
'x,y,z'
loop_
_atom_site_label
_atom_site_type_symbol
_atom_site_fract_x
_atom_site_fract_y
_atom_site_fract_z
Tm1 Tm 0.234 0.748 0.748
Tm2 Tm 0.241 0.241 0.241
Tm3 Tm 0.252 0.252 0.766
Tm4 Tm 0.252 0.766 0.252
Tm5 Tm 0.748 0.234 0.748
Tm6 Tm 0.748 0.748 0.234
Tm7 Tm 0.759 0.759 0.759
Tm8 Tm 0.766 0.252 0.252
As1 As 0.000 0.000 0.000
Se1 Se 0.000 0.500 0.500
Se2 Se 0.500 0.000 0.500
Se3 Se 0.500 0.500 0.000
S1 S 0.000 0.000 0.500
S2 S 0.000 0.500 0.000
S3 S 0.500 0.000 0.000
S4 S 0.500 0.500 0.500
# Total energy in eV per atom: -6.01
# DOS(E_F) in states/eV per atom: 0.316
# V in Å³ per cell: 345.8
# Formation energy without anion corrections in kJ/mol of formula units: -2777
# Space group: R-3m, No. 166
# M_tot in μB/f.u.: 0.0

***

11.
# PBE Tm6AsSe3S2, relaxed
data_Tm6AsSe3S2
_cell_length_a 6.830
_cell_length_b 6.830
_cell_length_c 6.965
_cell_angle_alpha 99.40
_cell_angle_beta 99.40
_cell_angle_gamma 119.98
_symmetry_space_group_name_H-M 'P 1'
_symmetry_Int_Tables_number 1
loop_
_symmetry_equiv_pos_as_xyz
'x,y,z'
loop_
_atom_site_label
_atom_site_type_symbol
_atom_site_fract_x
_atom_site_fract_y
_atom_site_fract_z
Tm1 Tm 0.084 0.424 0.773
Tm2 Tm 0.235 0.235 0.227
Tm3 Tm 0.424 0.084 0.773
Tm4 Tm 0.576 0.916 0.227
Tm5 Tm 0.765 0.765 0.773
Tm6 Tm 0.916 0.576 0.227
As1 As 0.500 0.500 0.000
Se1 Se 0.000 0.000 0.500
Se2 Se 0.335 0.665 0.500
Se3 Se 0.665 0.335 0.500
S1 S 0.167 0.833 0.000
S2 S 0.833 0.167 0.000
# Total energy in eV per atom: -5.94
# DOS(E_F) in states/eV per atom: 0.374
# V in Å³ per cell: 266.0
# Formation energy without anion corrections in kJ/mol of formula units: -2032
# Space group: C2/m, No. 12
# M_tot in μB/f.u.: 0.0

***

The highest formation energy without anion corrections belongs to which entry?
TlAsSe2S

***

What is the total energy in the fourth record?
-5.93 eV per atom

***

Among the records above, which one has the highest V?
Tm8As3Se4S